Computed, not measured: a relaxed La2GaSbCl crystal at the PBE level of DFT.

Computed properties:
Crystal system: tetragonal
Mass density: 2.41 g cm⁻³
Uncorrected formation energy: 0.68 eV/atom
Magnetic moment: 1.6 μB per formula unit

abc: 7.411 7.411 6.345
angles: 90.00 90.00 90.00
Fractional coordinates of all 5 atoms:
La 0.000 0.500 0.000
La 0.500 0.000 0.000
Ga 0.000 0.000 0.500
Sb 0.500 0.500 0.000
Cl 0.500 0.500 0.500


Computed, not measured: a relaxed La4GaSeCl2 crystal at the PBE level of DFT.

Computed properties:
Crystal system: monoclinic
Mass density: 5.75 g cm⁻³
Uncorrected formation energy: -1.45 eV/atom
Magnetic moment: 0.0 μB per formula unit

abc: 7.250 4.370 7.548
angles: 90.00 110.53 90.00
Fractional coordinates of all 8 atoms:
La 0.246 0.000 0.253
La 0.247 0.500 0.746
La 0.753 0.500 0.254
La 0.754 0.000 0.747
Ga 0.000 0.000 0.500
Se 0.000 0.500 0.000
Cl 0.500 0.000 0.000
Cl 0.500 0.500 0.500


Computed, not measured: a relaxed LaGa2SeCl crystal at the PBE level of DFT.

Computed properties:
Crystal system: tetragonal
Mass density: 3.91 g cm⁻³
Uncorrected formation energy: -0.27 eV/atom
Magnetic moment: 0.0 μB per formula unit

abc: 5.334 5.334 5.862
angles: 90.00 90.00 90.00
Fractional coordinates of all 5 atoms:
La 0.000 0.000 0.000
Ga 0.000 0.500 0.500
Ga 0.500 0.000 0.500
Se 0.500 0.500 0.000
Cl 0.000 0.000 0.500


Computed, not measured: a relaxed La8GaSi3Cl4 crystal at the PBE level of DFT.

Computed properties:
Crystal system: trigonal
Mass density: 5.07 g cm⁻³
Uncorrected formation energy: -1.21 eV/atom
Magnetic moment: 0.0 μB per formula unit

abc: 8.563 8.563 8.563
angles: 61.67 61.67 61.67
Fractional coordinates of all 16 atoms:
La 0.242 0.747 0.747
La 0.244 0.244 0.244
La 0.253 0.253 0.758
La 0.253 0.758 0.253
La 0.747 0.242 0.747
La 0.747 0.747 0.242
La 0.756 0.756 0.756
La 0.758 0.253 0.253
Ga 0.500 0.500 0.500
Si 0.000 0.000 0.500
Si 0.000 0.500 0.000
Si 0.500 0.000 0.000
Cl 0.000 0.000 0.000
Cl 0.000 0.500 0.500
Cl 0.500 0.000 0.500
Cl 0.500 0.500 0.000


- What is the formula in the second record?
  La4GaSeCl2